(1)
DFT (PBE) results for a relaxed Sr2ZrIr crystal.

```
Sr2ZrIr
1.0
6.655 0.021 -0.001
3.075 5.902 0.001
-4.129 -4.170 3.138
Ir Sr Zr
1 2 1
Direct
0.277 0.777 0.500 Ir
0.051 0.051 0.000 Sr
0.744 0.244 0.500 Sr
0.427 0.427 0.000 Zr
```

Space group: Imm2 (44)
Distance to the lowest polymorph of the same formula, meV per atom: 142
Calculated formation energy, eV per formula unit: -0.221
Calculated total energy, Ry/atom: -0.3858

(2)
DFT (PBE) results for a relaxed Dy3YTm2 crystal.

```
Dy3YTm2
1.0
-0.605 3.164 -1.638
-10.940 -1.062 1.991
6.828 3.389 8.007
Dy Y Tm
6 2 4
Direct
0.278 0.154 0.555 Dy
0.055 0.680 0.110 Dy
0.388 0.515 0.776 Dy
0.722 0.846 0.445 Dy
0.612 0.485 0.224 Dy
0.945 0.320 0.890 Dy
0.390 0.013 0.780 Y
0.610 0.987 0.220 Y
0.278 0.652 0.556 Tm
0.722 0.348 0.444 Tm
0.944 0.819 0.888 Tm
0.056 0.181 0.112 Tm
```

Space group: C2/m (12)
Distance to the lowest polymorph of the same formula, meV per atom: 0
Calculated formation energy, eV per formula unit: 0.015
Calculated total energy, Ry/atom: -0.3577

(3)
DFT (PBE) results for a relaxed TlPb2S4 crystal.

```
TlPb2S4
1.0
-0.443 -2.734 -2.751
-3.491 -2.201 5.519
-11.412 6.502 -4.626
Tl Pb S
2 4 8
Direct
0.619 0.239 0.750 Tl
0.381 0.761 0.250 Tl
0.132 0.264 0.431 Pb
0.868 0.736 0.931 Pb
0.132 0.264 0.069 Pb
0.868 0.736 0.569 Pb
0.774 0.547 0.124 S
0.774 0.547 0.376 S
0.226 0.453 0.876 S
0.226 0.453 0.624 S
0.975 0.951 0.750 S
0.025 0.049 0.250 S
0.500 0.000 0.000 S
0.500 0.000 0.500 S
```

Space group: Cmcm (63)
Calculated total energy, Ry/atom: -0.2880

(4)
DFT (PBE) results for a relaxed LaP2AuS crystal.

```
LaP2AuS
1.0
-0.481 3.660 3.039
-3.370 1.894 -2.814
-3.509 -2.534 2.497
P S Au La
2 1 1 1
Direct
0.000 0.500 0.000 P
0.500 0.000 0.000 P
0.000 0.000 0.500 S
0.000 0.000 0.000 Au
0.500 0.500 0.500 La
```

Space group: P4/mmm (123)
Distance to the lowest polymorph of the same formula, meV per atom: 0
Calculated total energy, Ry/atom: -0.3532

(5)
DFT (PBE) results for a relaxed BeFe2Si2 crystal.

```
BeFe2Si2
1.0
-1.657 1.657 5.519
1.657 -1.657 5.519
1.657 1.657 -5.519
Be Fe Si
1 2 2
Direct
0.000 0.000 0.000 Be
0.605 0.605 0.000 Fe
0.395 0.395 0.000 Fe
0.250 0.750 0.500 Si
0.750 0.250 0.500 Si
```

Space group: I4/mmm (139)
Distance to the lowest polymorph of the same formula, meV per atom: 262
Calculated total energy, Ry/atom: -0.4591

(6)
DFT (PBE) results for a relaxed TbPm2Pr2Sm4 crystal.

```
TbPm2Pr2Sm4
1.0
-0.709 -2.528 2.573
8.638 -3.044 -3.236
0.349 6.925 6.900
Tb Pm Pr Sm
1 2 2 4
Direct
0.000 0.000 0.000 Tb
0.853 0.705 0.335 Pm
0.147 0.295 0.665 Pm
0.335 0.669 0.000 Pr
0.665 0.331 0.000 Pr
0.815 0.630 0.666 Sm
0.185 0.370 0.334 Sm
0.518 0.037 0.331 Sm
0.482 0.963 0.669 Sm
```

Space group: C2/m (12)
Calculated formation energy, eV per formula unit: 0.073
Calculated total energy, Ry/atom: -0.3470

(7)
DFT (PBE) results for a relaxed Sm2HoRh crystal.

```
Sm2HoRh
1.0
-3.567 0.861 -0.103
-2.534 -2.626 0.396
-1.968 0.930 10.583
Rh Ho Sm
1 1 2
Direct
0.500 0.500 0.500 Rh
0.000 0.000 0.000 Ho
0.109 0.109 0.672 Sm
0.891 0.891 0.328 Sm
```

Space group: R-3m (166)
Distance to the lowest polymorph of the same formula, meV per atom: 394
Calculated formation energy, eV per formula unit: -0.346
Calculated total energy, Ry/atom: -0.3990

(8)
DFT (PBE) results for a relaxed AcLa5Nd4 crystal.

```
AcLa5Nd4
1.0
-1.227 3.322 -1.272
-1.956 -1.754 -2.694
-20.742 -1.513 16.051
Ac La Nd
1 5 4
Direct
0.000 0.000 0.000 Ac
0.500 0.500 0.107 La
0.500 0.500 0.304 La
0.500 0.500 0.500 La
0.500 0.500 0.696 La
0.500 0.500 0.893 La
0.000 0.000 0.206 Nd
0.000 0.000 0.402 Nd
0.000 0.000 0.598 Nd
0.000 0.000 0.794 Nd
```

Space group: P4/mmm (123)
Distance to the lowest polymorph of the same formula, meV per atom: 0
Calculated formation energy, eV per formula unit: 0.229
Calculated total energy, Ry/atom: -0.3498

(9)
DFT (PBE) results for a relaxed PmEr3 crystal.

```
PmEr3
1.0
5.648 0.000 0.000
2.824 4.892 0.000
2.824 1.631 4.612
Pm Er
1 3
Direct
0.500 0.500 0.500 Pm
0.000 0.000 0.000 Er
0.750 0.750 0.750 Er
0.250 0.250 0.250 Er
```

Space group: Fm-3m (225)
Distance to the lowest polymorph of the same formula, meV per atom: 123
Calculated formation energy, eV per formula unit: 0.526
Calculated total energy, Ry/atom: -0.3292

(10)
DFT (PBE) results for a relaxed Dy5CoPb4 crystal.

```
Dy5CoPb4
1.0
-4.799 1.654 1.995
-5.730 -1.875 -4.773
-3.161 -5.469 4.385
Dy Co Pb
5 1 4
Direct
0.824 0.354 0.001 Dy
0.178 0.001 0.646 Dy
0.824 0.999 0.354 Dy
0.178 0.646 0.999 Dy
0.501 0.000 0.000 Dy
0.001 0.000 0.000 Co
0.501 0.324 0.675 Pb
0.826 0.675 0.676 Pb
0.176 0.325 0.324 Pb
0.501 0.676 0.325 Pb
```

Space group: I4/m (87)
Calculated formation energy, eV per formula unit: -2.663
Calculated total energy, Ry/atom: -0.3500

(11)
DFT (PBE) results for a relaxed RbNa2Ru crystal.

```
RbNa2Ru
1.0
4.983 0.000 0.000
0.000 4.983 0.000
2.491 2.491 11.158
Ru Rb Na
2 2 4
Direct
0.000 0.000 0.000 Ru
0.750 0.250 0.500 Ru
0.500 0.500 0.000 Rb
0.250 0.750 0.500 Rb
0.690 0.125 0.250 Na
0.060 0.625 0.250 Na
0.375 0.310 0.750 Na
0.875 0.940 0.750 Na
```

Space group: I-42d (122)
Distance to the lowest polymorph of the same formula, meV per atom: 121
Calculated formation energy, eV per formula unit: 4.355
Calculated total energy, Ry/atom: -0.1567